Material: Li2Ac3OsO9
Method: DFT, PBE-GGA
State: optimized geometry

## Properties
D(E_F) = 4.8 states/eV/f.u.
uncorrected formation energy = -2.3686 eV per atom
space-group type = No. 164
E_tot = -7.17 eV/atom
size of the total moment = 1.01 μB/f.u.

Cell lengths 5.667, 5.667, 6.968 Å; angles 90.00, 90.00, 120.00 degrees
Sites, in units of the cell vectors:
Li: 0.333 0.667 0.171
Li: 0.667 0.333 0.829
Ac: 0.000 0.000 0.000
Ac: 0.333 0.667 0.734
Ac: 0.667 0.333 0.266
Os: 0.000 0.000 0.500
O: 0.000 0.500 0.000
O: 0.157 0.314 0.338
O: 0.157 0.843 0.338
O: 0.314 0.157 0.662
O: 0.500 0.000 0.000
O: 0.500 0.500 0.000
O: 0.686 0.843 0.338
O: 0.843 0.157 0.662
O: 0.843 0.686 0.662